Entry from Alexandria: crystalline Ge3PdC at its relaxed geometry (PBE-GGA).

Computed properties:
Distance to the lowest polymorph of the same formula = 72.7 kJ/mol of atoms

Lattice parameters (Å, degrees): 4.8062 4.8062 4.8062 90.00 90.00 90.00
Closest atoms and distances in Å follow each position.
Fractional positions:
Ge1 0.0000 0.5000 0.0000  2 Pd 2.40
Ge2 0.0000 0.0000 0.5000  2 Pd 2.40
Pd1 0.0000 0.0000 0.0000  6 Ge 2.40
C1 0.5000 0.5000 0.5000  12 Ge 3.40
Ge3 0.5000 0.0000 0.0000  2 Pd 2.40

Entry from Alexandria: crystalline Sn2GePdC at its relaxed geometry (PBE-GGA).

Lattice parameters (Å, degrees): 5.3503 4.6510 5.3503 90.00 90.00 90.00
Closest atoms and distances in Å follow each position.
Fractional positions:
Ge1 0.0000 0.0000 0.0000  2 Pd 2.33
Sn1 0.5000 0.0000 0.0000  2 Ge 2.68
Sn2 0.0000 0.0000 0.5000  2 Ge 2.68
Pd1 0.0000 0.5000 0.0000  2 Ge 2.33
C1 0.5000 0.5000 0.5000  8 Sn 3.54, 4 Pd 3.78

Entry from Alexandria: crystalline ZnGePd2C at its relaxed geometry (PBE-GGA).

Lattice parameters (Å, degrees): 4.8098 3.6017 4.8098 90.00 90.00 90.00
Closest atoms and distances in Å follow each position.
Fractional positions:
Pd1 0.5000 0.0000 0.0000  2 Zn 2.40
Pd2 0.0000 0.0000 0.5000  2 Zn 2.40
Ge1 0.5000 0.5000 0.5000  8 Pd 3.00
Zn1 0.0000 0.0000 0.0000  2 C 1.80
C1 0.0000 0.5000 0.0000  2 Zn 1.80

Entry from Alexandria: crystalline Pm6Ge5C at its relaxed geometry (PBE-GGA).

Lattice parameters (Å, degrees): 7.2412 7.2727 7.1729 59.54 80.58 71.17
Closest atoms and distances in Å follow each position.
Fractional positions:
Ge1 0.5000 0.1845 0.6310  6 Pm 2.99-3.10
Ge2 0.5000 0.5000 0.0000  6 Pm 2.99-3.24
Ge3 0.0000 0.3364 0.3272  6 Pm 2.97-2.98
Pm1 0.2237 0.6259 0.3011  1 C 2.65, 1 Ge 2.97
Pm2 0.2311 0.2191 0.0000  1 C 2.66, 2 Ge 2.98
Ge4 0.0000 0.6636 0.6728  6 Pm 2.97-2.98
Pm3 0.2237 0.9270 0.6989  1 C 2.65, 1 Ge 2.97
Pm4 0.7763 0.0730 0.3011  1 C 2.65, 1 Ge 2.97
Ge5 0.5000 0.8155 0.3690  6 Pm 2.99-3.10
Pm5 0.7689 0.7809 0.0000  1 C 2.66, 2 Ge 2.98
C1 0.0000 0.0000 0.0000  6 Pm 2.65-2.66
Pm6 0.7763 0.3741 0.6989  1 C 2.65, 1 Ge 2.97

| no. | ΔE_f (meV/atom) | mass density (g cm⁻³) | E (eV/cell) |
| --- | --- | --- | --- |
| 1 | 1537 | 5.0 | -20.59 |
| 2 | 1614 | 5.3 | -18.97 |
| 3 | 980 | 7.2 | -20.60 |
| 4 | -513 | 6.7 | -66.97 |